i) ## LiPbS2N (PBE)

Data for LiPbS2N after structural relaxation.

a = 5.2841 Å, b = 5.2841 Å, c = 4.3115 Å
α = 90.00°, β = 90.00°, γ = 90.00°
Sites, in units of the cell vectors:
1 Li 0.0000 0.0000 0.0000
2 Pb 0.5000 0.5000 0.5000
3 S 0.0000 0.5000 0.0000
4 S 0.5000 0.0000 0.0000
5 N 0.0000 0.0000 0.5000

Properties
**Magnetization**: 4.0 μB/f.u.

ii) ## LiPbS2N (PBE)

Data for LiPbS2N after structural relaxation.

a = 5.2808 Å, b = 5.2808 Å, c = 4.5149 Å
α = 90.00°, β = 90.00°, γ = 90.00°
Sites, in units of the cell vectors:
1 Li 0.0000 0.0000 0.0000
2 Pb 0.5000 0.5000 0.5000
3 S 0.0000 0.5000 0.5000
4 S 0.5000 0.0000 0.5000
5 N 0.5000 0.5000 0.0000

Properties
**Magnetization**: 2.0 μB/f.u.

Stability order, top to bottom: ii), i)

i) ## Be2RuW (PBE)

Data for Be2RuW after structural relaxation.

a = 4.7072 Å, b = 4.7072 Å, c = 4.7072 Å
α = 143.77°, β = 125.41°, γ = 67.29°
Sites, in units of the cell vectors:
1 Be 0.2399 0.2399 0.0000
2 Be 0.7601 0.7601 0.0000
3 Ru 0.0000 0.5000 0.5000
4 W 0.5000 0.0000 0.5000

Properties
**Magnetization**: 0.0 μB/f.u.

ii) ## Be2RuW (PBE)

Data for Be2RuW after structural relaxation.

a = 4.1064 Å, b = 4.1064 Å, c = 4.1064 Å
α = 60.00°, β = 60.00°, γ = 60.00°
Sites, in units of the cell vectors:
1 Be 0.0000 0.0000 0.0000
2 Be 0.2500 0.2500 0.2500
3 Ru 0.5000 0.5000 0.5000
4 W 0.7500 0.7500 0.7500

Properties
**Magnetization**: 0.0 μB/f.u.

Stability order, top to bottom: ii), i)

i) ## MoRuRh2 (PBE)

Data for MoRuRh2 after structural relaxation.

a = 4.7596 Å, b = 4.7596 Å, c = 4.7236 Å
α = 99.55°, β = 99.55°, γ = 33.33°
Sites, in units of the cell vectors:
1 Mo 0.0000 0.0000 0.0000
2 Ru 0.5000 0.5000 0.5000
3 Rh 0.2489 0.2489 0.7481
4 Rh 0.7511 0.7511 0.2519

Properties
**Magnetization**: 0.0 μB/f.u.

ii) ## MoRuRh2 (PBE)

Data for MoRuRh2 after structural relaxation.

a = 4.7279 Å, b = 4.7279 Å, c = 4.7710 Å
α = 99.24°, β = 99.24°, γ = 33.45°
Sites, in units of the cell vectors:
1 Mo 0.0000 0.0000 0.0000
2 Ru 0.7508 0.7508 0.2579
3 Rh 0.2524 0.2524 0.7567
4 Rh 0.4972 0.4972 0.4940

Properties
**Magnetization**: 0.0 μB/f.u.

Stability order, top to bottom: ii), i)